[1]
The following is a DFT calculation (PBE-GGA) of a geometry-optimized Sr3Zn2Cd2Au4 structure.

Computed properties:
As for the total energy: -2.558 eV per atom. The value obtained for the formation energy is -0.51 eV/atom.

POSCAR file:
```
Sr3Zn2Cd2Au4
1.0
-4.1577 -1.1899 -1.8142
2.1570 -2.8804 3.0073
-7.0259 6.8550 11.6054
Sr Au Zn Cd
3 4 2 2
Direct
0.0000 0.0000 0.2676 Sr
0.0000 0.0000 0.0000 Sr
0.0000 0.0000 0.7324 Sr
0.3333 0.6667 0.8689 Au
0.6667 0.3333 0.6237 Au
0.3333 0.6667 0.3763 Au
0.6667 0.3333 0.1311 Au
0.3333 0.6667 0.1380 Zn
0.6667 0.3333 0.8620 Zn
0.3333 0.6667 0.5648 Cd
0.6667 0.3333 0.4352 Cd
```

[2]
The following is a DFT calculation (PBE-GGA) of a geometry-optimized SrZnCdAu structure.

Computed properties:
As for the total energy: -2.113 eV per atom. The value obtained for the formation energy is -0.33 eV/atom.

POSCAR file:
```
SrZnCdAu
1.0
5.1308 0.0000 0.0000
2.5654 4.4434 0.0000
2.5654 1.4811 4.1893
Au Sr Zn Cd
1 1 1 1
Direct
0.7500 0.7500 0.7500 Au
0.5000 0.5000 0.5000 Sr
0.2500 0.2500 0.2500 Zn
0.0000 0.0000 0.0000 Cd
```

[3]
The following is a DFT calculation (PBE-GGA) of a geometry-optimized SrZn2CdAu5 structure.

Computed properties:
As for the total energy: -2.635 eV per atom. The value obtained for the formation energy is -0.24 eV/atom.

POSCAR file:
```
SrZn2CdAu5
1.0
4.9991 0.0000 0.0000
0.0000 4.9991 0.0000
0.0000 0.0000 7.6833
Zn Cd Au Sr
2 1 5 1
Direct
0.5000 0.5000 0.1630 Zn
0.5000 0.5000 0.8370 Zn
0.0000 0.0000 0.0000 Cd
0.5000 0.0000 0.2183 Au
0.0000 0.5000 0.7817 Au
0.5000 0.5000 0.5000 Au
0.5000 0.0000 0.7817 Au
0.0000 0.5000 0.2183 Au
0.0000 0.0000 0.5000 Sr
```

[4]
The following is a DFT calculation (PBE-GGA) of a geometry-optimized Sr2Zn4CdAu3 structure.

Computed properties:
As for the total energy: -2.371 eV per atom. The value obtained for the formation energy is -0.45 eV/atom.

POSCAR file:
```
Sr2Zn4CdAu3
1.0
-3.5543 -2.2917 1.5646
2.6639 -3.5298 0.8814
1.9033 3.9669 10.1339
Au Sr Cd Zn
3 2 1 4
Direct
0.5000 0.0000 0.8724 Au
0.0000 0.0000 0.5000 Au
0.0000 0.5000 0.1276 Au
0.0000 0.5000 0.7574 Sr
0.5000 0.0000 0.2426 Sr
0.5000 0.5000 0.5000 Cd
0.0000 0.5000 0.3620 Zn
0.0000 0.0000 0.0000 Zn
0.5000 0.0000 0.6380 Zn
0.5000 0.5000 0.0000 Zn
```